# 1
The following is a DFT calculation (GGA-PBE) of a relaxed CdCoAu crystal.

Cell and atoms, written as POSCAR:
```
CdCoAu
1.0
0.0000 3.0477 3.0477
3.0477 0.0000 3.0477
3.0477 3.0477 0.0000
Cd Co Au
1 1 1
Cartesian
0.0000 0.0000 0.0000
4.5716 4.5716 4.5716
3.0477 3.0477 3.0477
```

DFT formation energy	377	meV/atom
SG	F-43m (216)

# 2
The following is a DFT calculation (GGA-PBE) of a relaxed GaH2Pb crystal.

Cell and atoms, written as POSCAR:
```
GaH2Pb
1.0
-2.8106 2.8106 3.9907
2.8106 -2.8106 3.9907
2.8106 2.8106 -3.9907
Ga H Pb
2 4 2
Cartesian
0.0000 0.0000 0.0000
0.0000 2.8106 1.9954
0.2365 1.4053 0.9977
-1.4053 2.5741 2.9931
-0.2365 4.2159 0.9977
1.4053 3.0471 2.9931
2.8106 0.0000 1.9954
0.0000 0.0000 3.9907
```

SG	I-42d (122)

# 3
The following is a DFT calculation (GGA-PBE) of a relaxed Na2Tl5 crystal.

Cell and atoms, written as POSCAR:
```
Na2Tl5
1.0
2.8076 1.6210 7.6456
-2.8076 1.6210 7.6456
0.0000 -3.2420 7.6456
Na Tl
2 5
Cartesian
0.0000 0.0000 3.2337
0.0000 0.0000 19.7030
0.0000 0.0000 0.0000
0.0000 0.0000 6.5694
0.0000 0.0000 9.8090
0.0000 0.0000 13.1278
0.0000 0.0000 16.3673
```

DFT formation energy	-56	meV/atom
SG	R-3m (166)

# 4
The following is a DFT calculation (GGA-PBE) of a relaxed K4CuRh crystal.

Cell and atoms, written as POSCAR:
```
K4CuRh
1.0
0.0000 4.6657 4.6657
4.6657 0.0000 4.6657
4.6657 4.6657 0.0000
K Cu Rh
4 1 1
Cartesian
1.1647 1.1647 1.1647
3.5010 3.5010 1.1647
3.5010 1.1647 3.5010
1.1647 3.5010 3.5010
4.6657 4.6657 4.6657
6.9986 6.9986 6.9986
```

DFT formation energy	948	meV/atom
SG	F-43m (216)

# 5
The following is a DFT calculation (GGA-PBE) of a relaxed Nd3Fe5S12 crystal.

Cell and atoms, written as POSCAR:
```
Nd3Fe5S12
1.0
-7.3677 7.3677 7.3677
7.3677 -7.3677 7.3677
7.3677 7.3677 -7.3677
Nd Fe S
12 20 48
Cartesian
3.6838 1.8419 0.0000
7.3677 3.6838 -1.8419
1.8419 0.0000 3.6838
9.2096 0.0000 3.6838
0.0000 3.6838 1.8419
3.6838 -1.8419 7.3677
3.6838 9.2096 0.0000
7.3677 3.6838 5.5257
-1.8419 7.3677 3.6838
5.5257 7.3677 3.6838
0.0000 3.6838 9.2096
3.6838 5.5257 7.3677
0.0000 0.0000 0.0000
3.6838 3.6838 -3.6838
3.6838 -3.6838 3.6838
7.3677 0.0000 0.0000
11.0515 1.8419 0.0000
7.3677 -3.6838 5.5257
5.5257 7.3677 -3.6838
5.5257 0.0000 3.6838
3.6838 5.5257 0.0000
7.3677 3.6838 1.8419
-3.6838 3.6838 3.6838
0.0000 7.3677 0.0000
0.0000 0.0000 7.3677
3.6838 3.6838 3.6838
0.0000 3.6838 5.5257
3.6838 1.8419 7.3677
1.8419 7.3677 3.6838
1.8419 0.0000 11.0515
0.0000 11.0515 1.8419
-3.6838 5.5257 7.3677
2.1130 -0.4723 0.7718
8.9385 4.4557 -4.1561
9.4807 0.4723 0.7718
8.9385 -2.9120 4.1561
6.8954 -0.7718 2.1130
11.5238 -1.5708 2.9120
0.7718 2.1130 -0.4723
10.2796 3.2115 -1.5708
4.4557 4.1561 -1.5708
6.5958 2.1130 0.4723
-0.4723 0.7718 2.1130
4.1561 -1.5708 4.4557
6.8954 6.5958 -2.1130
4.1561 1.5708 2.9120
4.4557 -4.1561 8.9385
6.5958 -2.1130 6.8954
2.9120 4.1561 1.5708
8.1395 5.2547 0.4723
4.1561 8.9385 -2.9120
6.8954 0.7718 5.2547
2.1130 6.8954 -0.7718
8.9385 2.9120 3.2115
1.5708 2.9120 4.1561
2.1130 0.4723 6.5958
5.2547 6.8954 0.7718
5.7968 4.4557 3.2115
-1.5708 4.4557 4.1561
5.2547 0.4723 8.1395
0.4723 6.5958 2.1130
3.2115 -1.5708 10.2796
-0.7718 2.1130 6.8954
4.4557 3.2115 5.7968
0.7718 9.4807 0.4723
2.9120 11.5238 -1.5708
3.2115 5.7968 4.4557
0.4723 0.7718 9.4807
3.2115 8.9385 2.9120
7.8399 6.5958 5.2547
0.7718 5.2547 6.8954
2.9120 3.2115 8.9385
-2.9120 4.1561 8.9385
6.5958 5.2547 7.8399
-4.1561 8.9385 4.4557
0.4723 8.1395 5.2547
-1.5708 10.2796 3.2115
-2.1130 6.8954 6.5958
-1.5708 2.9120 11.5238
5.2547 7.8399 6.5958
```

ΔE_f (raw)	-1717	kJ/mol of formula units
SG	Ia-3d (230)

# 6
The following is a DFT calculation (GGA-PBE) of a relaxed Th2Ga4IrPt3 crystal.

Cell and atoms, written as POSCAR:
```
Th2Ga4IrPt3
1.0
4.2642 0.0000 0.0000
0.0000 4.2642 0.0000
0.0000 0.0000 10.5437
Th Ga Ir Pt
2 4 1 3
Cartesian
0.0000 2.1321 2.6340
2.1321 0.0000 7.9097
0.0000 0.0000 0.0000
0.0000 2.1321 6.6310
2.1321 0.0000 3.9127
2.1321 2.1321 0.0000
0.0000 0.0000 5.2718
0.0000 2.1321 9.0974
2.1321 0.0000 1.4463
2.1321 2.1321 5.2718
```

DFT formation energy	-927	meV/atom
SG	P-4m2 (115)

# 7
The following is a DFT calculation (GGA-PBE) of a relaxed Pu2GaSi crystal.

Cell and atoms, written as POSCAR:
```
Pu2GaSi
1.0
3.8391 0.0000 0.0000
0.0000 3.8391 0.0000
0.0000 0.0000 5.7080
Pu Ga Si
2 1 1
Cartesian
0.0000 0.0000 1.3707
0.0000 0.0000 4.3373
1.9195 1.9195 2.8540
1.9195 1.9195 0.0000
```

ΔE_f (raw)	-131	kJ/mol of formula units
SG	P4/mmm (123)

# 8
The following is a DFT calculation (GGA-PBE) of a relaxed CsNaTc3 crystal.

Cell and atoms, written as POSCAR:
```
CsNaTc3
1.0
5.0052 0.0000 0.0000
0.0000 5.0052 0.0000
0.0000 0.0000 5.0052
Cs Na Tc
1 1 3
Cartesian
0.0000 0.0000 0.0000
2.5026 2.5026 2.5026
0.0000 0.0000 2.5026
0.0000 2.5026 0.0000
2.5026 0.0000 0.0000
```

DFT formation energy	2889	meV/atom
SG	Pm-3m (221)

# 9
The following is a DFT calculation (GGA-PBE) of a relaxed PaBiPt2O8 crystal.

Cell and atoms, written as POSCAR:
```
PaBiPt2O8
1.0
-3.5328 3.5328 3.5885
3.5328 -3.5328 3.5885
3.5328 3.5328 -3.5885
Pa Bi Pt O
1 1 2 8
Cartesian
0.0000 0.0000 0.0000
3.5328 0.0000 1.7943
0.0000 0.0000 3.5885
0.0000 3.5328 1.7943
2.3596 3.5328 -1.5627
1.1732 0.0000 2.0258
0.0000 2.2588 0.3165
3.5328 2.3596 1.5627
0.0000 4.8068 0.3165
0.0000 1.1732 5.1513
-1.2740 3.5328 3.2721
1.2740 3.5328 3.2721
```

ΔE_f (raw)	-1424	kJ/mol of formula units
SG	I-4m2 (119)

# 10
The following is a DFT calculation (GGA-PBE) of a relaxed NbZnRu3 crystal.

Cell and atoms, written as POSCAR:
```
NbZnRu3
1.0
4.7131 0.0000 0.0000
0.0000 4.7131 0.0000
0.0000 0.0000 4.7131
Nb Zn Ru
1 1 3
Cartesian
0.0000 0.0000 0.0000
2.3565 2.3565 2.3565
0.0000 0.0000 2.3565
0.0000 2.3565 0.0000
2.3565 0.0000 0.0000
```

DFT formation energy	1520	meV/atom
SG	Pm-3m (221)

# 11
The following is a DFT calculation (GGA-PBE) of a relaxed RbSmTl2Cl6 crystal.

Cell and atoms, written as POSCAR:
```
RbSmTl2Cl6
1.0
3.9667 2.2902 6.7873
-3.9667 2.2902 6.7873
0.0000 -4.5803 6.7873
Rb Sm Tl Cl
1 1 2 6
Cartesian
0.0000 0.0000 0.0000
0.0000 0.0000 9.9862
0.0000 0.0000 5.7751
0.0000 0.0000 16.1081
-2.1131 0.0635 8.2378
-1.4196 -1.8300 11.3947
1.0015 -1.8617 8.2378
-0.8750 2.1444 11.3947
1.1115 1.7982 8.2378
2.2946 -0.3144 11.3947
```

ΔE_f (raw)	-1679	kJ/mol of formula units
SG	R3 (146)

# 12
The following is a DFT calculation (GGA-PBE) of a relaxed Ti3AgRh crystal.

Cell and atoms, written as POSCAR:
```
Ti3AgRh
1.0
4.7215 0.0000 0.0000
0.0000 4.7215 0.0000
0.0000 0.0000 4.7215
Ti Ag Rh
3 1 1
Cartesian
0.0000 0.0000 2.3608
0.0000 2.3608 0.0000
2.3608 0.0000 0.0000
2.3608 2.3608 2.3608
0.0000 0.0000 0.0000
```

DFT formation energy	404	meV/atom
SG	Pm-3m (221)

# 13
The following is a DFT calculation (GGA-PBE) of a relaxed Tl2PdBr2F2 crystal.

Cell and atoms, written as POSCAR:
```
Tl2PdBr2F2
1.0
6.6567 -1.9994 0.0000
6.6567 1.9994 0.0000
-4.0116 0.0000 6.8501
Tl Pd Br F
2 1 2 2
Cartesian
1.4979 0.0000 1.5955
7.8039 0.0000 5.2547
-2.0058 0.0000 3.4251
5.0206 0.0000 1.6549
4.2812 0.0000 5.1952
0.1692 0.0000 3.8789
9.1326 0.0000 2.9712
```

ΔE_f (raw)	-725	kJ/mol of formula units
SG	C2/m (12)

# 14
The following is a DFT calculation (GGA-PBE) of a relaxed SiBiBr3 crystal.

Cell and atoms, written as POSCAR:
```
SiBiBr3
1.0
5.2703 0.0000 0.0000
0.0000 5.2703 0.0000
0.0000 0.0000 5.2703
Si Bi Br
1 1 3
Cartesian
0.0000 0.0000 0.0000
2.6352 2.6352 2.6352
0.0000 0.0000 2.6352
0.0000 2.6352 0.0000
2.6352 0.0000 0.0000
```

ΔE_f (raw)	42	kJ/mol of formula units
SG	Pm-3m (221)

# 15
The following is a DFT calculation (GGA-PBE) of a relaxed ZrAgTe2O8 crystal.

Cell and atoms, written as POSCAR:
```
ZrAgTe2O8
1.0
6.0240 0.0000 0.0000
-3.0120 5.2169 0.0000
0.0000 0.0000 6.6304
Zr Ag Te O
1 1 2 8
Cartesian
0.0000 0.0000 0.0000
0.0000 0.0000 3.3152
0.0000 3.4780 1.8784
3.0120 1.7390 4.7520
-0.0077 1.6508 1.3098
-1.5785 4.3982 1.3098
1.4258 0.8320 5.3206
0.0000 3.4780 3.6936
3.0120 1.7390 2.9368
1.5862 4.3849 1.3098
4.5905 0.8188 5.3206
3.0197 3.5661 5.3206
```

ΔE_f (raw)	-1378	kJ/mol of formula units
SG	P-3 (147)

# 16
The following is a DFT calculation (GGA-PBE) of a relaxed AlInS2 crystal.

Cell and atoms, written as POSCAR:
```
AlInS2
1.0
3.0437 -1.7824 0.0000
3.0437 1.7824 0.0000
-2.1714 0.0000 7.5924
Al In S
1 1 2
Cartesian
0.0000 0.0000 0.0000
-1.0857 0.0000 3.7962
2.0106 0.0000 1.3201
1.9053 0.0000 6.2722
```

ΔE_f (raw)	-282	kJ/mol of formula units
SG	C2/m (12)

# 17
The following is a DFT calculation (GGA-PBE) of a relaxed Pm3ThSb4 crystal.

Cell and atoms, written as POSCAR:
```
Pm3ThSb4
1.0
4.4939 -6.3545 0.0000
4.4939 6.3545 0.0000
0.0000 0.0000 4.5017
Pm Th Sb
3 1 4
Cartesian
0.0000 0.0000 0.0000
2.2470 3.1772 2.2508
2.2470 -3.1772 2.2508
4.4939 0.0000 0.0000
2.2430 0.0000 2.2508
4.4939 3.1742 0.0000
4.4939 -3.1742 0.0000
6.7449 0.0000 2.2508
```

ΔE_f (raw)	-879	kJ/mol of formula units
SG	Cmmm (65)

# 18
The following is a DFT calculation (GGA-PBE) of a relaxed KMn2Pt crystal.

Cell and atoms, written as POSCAR:
```
KMn2Pt
1.0
2.9607 0.0000 0.0000
0.0000 4.9784 0.0000
0.0000 0.0000 5.2031
K Mn Pt
1 2 1
Cartesian
0.0000 0.0000 0.0000
0.0000 2.4892 2.6016
1.4803 2.4892 0.0000
1.4803 0.0000 2.6016
```

DFT formation energy	747	meV/atom
SG	Pmmm (47)

# 19
The following is a DFT calculation (GGA-PBE) of a relaxed Dy2PbI crystal.

Cell and atoms, written as POSCAR:
```
Dy2PbI
1.0
2.2073 1.2744 7.6494
-2.2073 1.2744 7.6494
0.0000 -2.5488 7.6494
Dy Pb I
2 1 1
Cartesian
0.0000 0.0000 0.0000
0.0000 0.0000 4.3857
0.0000 0.0000 13.6157
0.0000 0.0000 17.5295
```

ΔE_f (raw)	-221	kJ/mol of formula units
SG	R3m (160)

# 20
The following is a DFT calculation (GGA-PBE) of a relaxed Be2CrTcNi crystal.

Cell and atoms, written as POSCAR:
```
Be2CrTcNi
1.0
3.8087 0.0000 0.0000
0.0000 3.8087 0.0000
0.0000 0.0000 4.4887
Be Cr Tc Ni
2 1 1 1
Cartesian
0.0000 1.9043 0.0000
1.9043 0.0000 0.0000
0.0000 0.0000 2.2444
1.9043 1.9043 2.2444
1.9043 1.9043 0.0000
```

DFT formation energy	923	meV/atom
SG	P4/mmm (123)

# 21
The following is a DFT calculation (GGA-PBE) of a relaxed KRb6Hg2 crystal.

Cell and atoms, written as POSCAR:
```
KRb6Hg2
1.0
3.4755 2.0066 13.5160
-3.4755 2.0066 13.5160
0.0000 -4.0131 13.5160
K Rb Hg
1 6 2
Cartesian
0.0000 0.0000 0.0000
0.0000 0.0000 7.5120
0.0000 0.0000 11.8804
0.0000 0.0000 17.2576
0.0000 0.0000 23.2903
0.0000 0.0000 28.6675
0.0000 0.0000 33.0358
0.0000 0.0000 3.6925
0.0000 0.0000 36.8553
```

DFT formation energy	-77	meV/atom
SG	R-3m (166)

# 22
The following is a DFT calculation (GGA-PBE) of a relaxed LiEu3 crystal.

Cell and atoms, written as POSCAR:
```
LiEu3
1.0
-2.6132 2.6132 5.6601
2.6132 -2.6132 5.6601
2.6132 2.6132 -5.6601
Li Eu
1 3
Cartesian
0.0000 0.0000 0.0000
2.6132 0.0000 2.8300
0.0000 0.0000 5.6601
0.0000 2.6132 2.8300
```

DFT formation energy	111	meV/atom
SG	I4/mmm (139)

# 23
The following is a DFT calculation (GGA-PBE) of a relaxed ZnCo2Cl crystal.

Cell and atoms, written as POSCAR:
```
ZnCo2Cl
1.0
2.8482 0.0000 0.0000
0.0000 4.1427 0.0000
0.0000 0.0000 4.7951
Zn Co Cl
1 2 1
Cartesian
0.0000 0.0000 0.0000
0.0000 2.0713 2.3976
1.4241 2.0713 0.0000
1.4241 0.0000 2.3976
```

ΔE_f (raw)	187	kJ/mol of formula units
SG	Pmmm (47)

Number 1: total magnetic moment 0.47 μB/atom, electronic total energy -3.389 eV per atom. Number 2: total magnetic moment 0.00 μB/atom, electronic total energy -3.025 eV per atom. Number 3: total magnetic moment 0.00 μB/atom, electronic total energy -2.123 eV per atom. Number 4: total magnetic moment 0.00 μB/atom, electronic total energy -1.691 eV per atom. Number 5: total magnetic moment 0.62 μB/atom, electronic total energy -6.197 eV per atom. Number 6: total magnetic moment 0.00 μB/atom, electronic total energy -6.320 eV per atom. Number 7: total magnetic moment 2.66 μB/atom, electronic total energy -9.617 eV per atom. Number 8: total magnetic moment 0.99 μB/atom, electronic total energy -3.765 eV per atom. Number 9: total magnetic moment 0.00 μB/atom, electronic total energy -6.657 eV per atom. Number 10: total magnetic moment 0.51 μB/atom, electronic total energy -6.314 eV per atom. Number 11: total magnetic moment 0.00 μB/atom, electronic total energy -3.890 eV per atom. Number 12: total magnetic moment 0.42 μB/atom, electronic total energy -6.374 eV per atom. Number 13: total magnetic moment 0.29 μB/atom, electronic total energy -3.503 eV per atom. Number 14: total magnetic moment 0.00 μB/atom, electronic total energy -2.777 eV per atom. Number 15: total magnetic moment 0.00 μB/atom, electronic total energy -5.970 eV per atom. Number 16: total magnetic moment 0.00 μB/atom, electronic total energy -4.413 eV per atom. Number 17: total magnetic moment 0.00 μB/atom, electronic total energy -5.909 eV per atom. Number 18: total magnetic moment 2.09 μB/atom, electronic total energy -5.622 eV per atom. Number 19: total magnetic moment 0.00 μB/atom, electronic total energy -4.189 eV per atom. Number 20: total magnetic moment 0.04 μB/atom, electronic total energy -5.721 eV per atom. Number 21: total magnetic moment 0.00 μB/atom, electronic total energy -0.911 eV per atom. Number 22: total magnetic moment 5.60 μB/atom, electronic total energy -8.073 eV per atom. Number 23: total magnetic moment 0.83 μB/atom, electronic total energy -3.848 eV per atom.